Below is a geometry-optimized AgRu3 structure, with properties calculated at the PBE level.

Output
Space group: I4/mmm (139)

```
8
Lattice="-2.735 -2.308 7.549 -7.025 -1.603 4.227 5.028 -0.672 -6.637" Properties=species:S:1:pos:R:3 pbc="T T T"
Ag -3.678 -1.474 4.438
Ag -6.082 -2.437 7.338
Ru 1.147 -1.490 0.456
Ru -1.251 -0.501 1.510
Ru -8.509 -3.409 10.266
Ru -1.293 -2.467 3.400
Ru -3.438 -2.115 1.739
Ru -0.998 -1.137 -1.205
```

***

Below is a geometry-optimized TlIn2I2 structure, with properties calculated at the PBE level.

Output
Raw formation energy: -0.269 eV/atom
Distance to the lowest polymorph of the same formula: 74 meV per atom
Space group: I4/mmm (139)

```
5
Lattice="-0.658 0.779 -6.557 1.111 -6.482 -0.882 -4.370 -3.689 -3.357" Properties=species:S:1:pos:R:3 pbc="T T T"
I -2.401 -2.881 -6.817
I -1.516 -6.511 -3.979
Tl 0.000 0.000 0.000
In -1.314 -3.132 -3.598
In -2.603 -6.260 -7.198
```

***

Below is a geometry-optimized ErZnGaCo structure, with properties calculated at the PBE level.

Output
Space group: F-43m (216)

```
4
Lattice="-1.904 1.859 -3.666 1.722 -0.820 -4.109 -2.276 -2.596 -2.933" Properties=species:S:1:pos:R:3 pbc="T T T"
Zn -1.229 -0.779 -5.354
Co 0.000 0.000 0.000
Ga -0.614 -0.389 -2.677
Er -1.843 -1.168 -8.031
```

***

Below is a geometry-optimized Ac2NdAlO6 structure, with properties calculated at the PBE level.

Output
Raw formation energy: -3.148 eV/atom
Space group: P4mm (99)

```
10
Lattice="5.174 0.000 0.000 0.000 5.598 0.000 0.000 0.000 5.598" Properties=species:S:1:pos:R:3 pbc="T T T"
Ac 0.070 2.799 0.000
Ac 0.070 0.000 2.799
Nd 2.917 2.799 2.799
Al 3.107 0.000 0.000
O 3.726 1.280 1.280
O 3.726 1.280 4.318
O 0.648 2.799 2.799
O 1.295 0.000 0.000
O 3.726 4.318 4.318
O 3.726 4.318 1.280
```

***

Number 1: uncorrected energy -7.095 eV/atom, total magnetic moment 0.255 μB/atom. Number 2: uncorrected energy -2.457 eV/atom, total magnetic moment 0.000 μB/atom. Number 3: uncorrected energy -4.191 eV/atom, total magnetic moment 0.252 μB/atom. Number 4: uncorrected energy -7.795 eV/atom, total magnetic moment 0.000 μB/atom.